Record 1
The following is a DFT calculation (PBE-GGA) of crystalline AcCeHo2 at its relaxed geometry.

```
AcCeHo2
1.0
0.000 4.109 4.109
4.109 0.000 4.109
4.109 4.109 0.000
Ac Ce Ho
1 1 2
direct
0.000 0.000 0.000
0.500 0.500 0.500
0.250 0.250 0.250
0.750 0.750 0.750
```

## Properties
The value obtained for the energy above the most stable polymorph in this dataset is 34 kJ/mol of formula units. As for the calculated total energy: -4.618 eV/atom. For the calculated density, the calculation gives 8.34 g cm⁻³. The value obtained for the formation energy is 0.18 eV/atom.

---

Record 2
The following is a DFT calculation (PBE-GGA) of crystalline Ac14CeHo at its relaxed geometry.

```
Ac14CeHo
1.0
11.205 0.000 0.000
0.000 5.565 5.565
0.000 -5.565 5.565
Ac Ce Ho
14 1 1
direct
0.000 0.000 0.000
0.000 0.001 0.499
0.000 0.499 0.001
0.000 0.500 0.500
0.257 0.750 0.750
0.258 0.249 0.249
0.258 0.250 0.750
0.258 0.750 0.250
0.500 0.501 0.999
0.500 0.999 0.501
0.742 0.249 0.249
0.742 0.250 0.750
0.742 0.750 0.250
0.743 0.750 0.750
0.500 0.000 0.000
0.500 0.500 0.500
```

## Properties
As for the calculated total energy: -4.201 eV/atom. For the calculated density, the calculation gives 8.33 g cm⁻³. The value obtained for the formation energy is 0.05 eV/atom.